A plane-wave DFT calculation with PBE+U was carried out for an optimized crystal structure of Li4Mn3Co2Sn3O16.

The volume comes out at 11.15 Å³ per atom. The crystal system is monoclinic. The calculation puts the total energy at -6.25 eV per atom.

Cell lengths 10.523, 6.069, 9.781 Å; angles 90.00, 90.16, 90.00 degrees
Space group Cm (No. 8)
Inequivalent atoms, fractional coordinates:
Li1 0.000 0.000 0.000 (multiplicity 2)
Li2 0.007 0.000 0.507 (multiplicity 2)
Li3 0.147 0.500 0.109 (multiplicity 2)
Li4 0.312 0.000 0.622 (multiplicity 2)
Mn1 0.070 0.254 0.786 (multiplicity 4)
Mn2 0.156 0.000 0.285 (multiplicity 2)
Co1 0.153 0.500 0.511 (multiplicity 2)
Co2 0.318 0.000 0.008 (multiplicity 2)
Sn1 0.317 0.500 0.787 (multiplicity 2)
Sn2 0.401 0.247 0.288 (multiplicity 4)
O1 0.003 0.500 0.675 (multiplicity 2)
O2 0.074 0.235 0.397 (multiplicity 4)
O3 0.142 0.500 0.895 (multiplicity 2)
O4 0.147 0.000 0.889 (multiplicity 2)
O5 0.219 0.272 0.668 (multiplicity 4)
O6 0.237 0.219 0.167 (multiplicity 4)
O7 0.309 0.000 0.402 (multiplicity 2)
O8 0.333 0.500 0.411 (multiplicity 2)
O9 0.415 0.259 0.899 (multiplicity 4)
O10 0.469 0.000 0.162 (multiplicity 2)
O11 0.496 0.500 0.184 (multiplicity 2)
O12 0.496 0.500 0.690 (multiplicity 2)